Density functional theory data (GGA-PBE) for a relaxed YGaP2S crystal.

```
data_YGaP2S
_cell_length_a 4.641
_cell_length_b 4.641
_cell_length_c 4.865
_cell_angle_alpha 90.00
_cell_angle_beta 90.00
_cell_angle_gamma 90.00
_symmetry_space_group_name_H-M 'P 4/m m m'
_symmetry_Int_Tables_number 123
_symmetry_space_group_name_Hall '-P 4 2'
loop_
_atom_site_label
_atom_site_type_symbol
_atom_site_fract_x
_atom_site_fract_y
_atom_site_fract_z
_atom_site_occupancy
Y1 Y 0.000 0.000 0.000 1
Ga1 Ga 0.500 0.500 0.500 1
P1 P 0.000 0.500 0.500 1
S1 S 0.500 0.500 0.000 1
```

Properties
formation energy from raw total energies	-98	meV/atom
total DFT energy (no corrections)	-4.985	eV per atom